First-principles (GGA-PBE) data for MgPaZn2Pt2 after structural relaxation, as listed in the Alexandria database.

V = 18.26 Å³/atom
Formation energy = -3.9 eV/f.u.
DFT total energy = -4.94 eV per atom

CIF file:
```
data_MgPaZn2Pt2
_cell_length_a 4.3971
_cell_length_b 4.3971
_cell_length_c 6.5442
_cell_angle_alpha 90.00
_cell_angle_beta 90.00
_cell_angle_gamma 120.00
_space_group_name_H-M_alt 'P -3 m 1'
_space_group_IT_number 164
_space_group_name_Hall '-P 3 2"'
loop_
_atom_site_label
_atom_site_type_symbol
_atom_site_fract_x
_atom_site_fract_y
_atom_site_fract_z
Mg1 Mg 0.0000 0.0000 0.0000
Pa1 Pa 0.0000 0.0000 0.5000
Zn1 Zn 0.3333 0.6667 0.1851
Pt1 Pt 0.3333 0.6667 0.7494
```